{
  "formula": "PrCo4Si2",
  "functional": "GGA-PBE",
  "state": "optimized geometry",
  "lattice_angstrom": [[7.299, 0.000, 0.000], [0.000, 7.299, 0.000], [0.000, 0.000, 3.621]],
  "species": ["Pr", "Pr", "Co", "Co", "Co", "Co", "Co", "Co", "Co", "Co", "Si", "Si", "Si", "Si"],
  "fractional_positions": [[0.000, 0.000, 0.000], [0.500, 0.500, 0.500], [0.079, 0.350, 0.500], [0.150, 0.579, 0.000], [0.350, 0.079, 0.500], [0.421, 0.850, 0.000], [0.579, 0.150, 0.000], [0.650, 0.921, 0.500], [0.850, 0.421, 0.000], [0.921, 0.650, 0.500], [0.226, 0.774, 0.500], [0.274, 0.274, 0.000], [0.726, 0.726, 0.000], [0.774, 0.226, 0.500]],
  "sg": "P4_2/mnm",
  "vol_a3_per_atom": 13.778,
  "raw_formation_energy_ev_per_atom": -0.440,
  "m_tot_mub_per_fu": 0.00,
  "crystal_system": "tetragonal"
}

{
  "formula": "K2TlBiO4",
  "functional": "GGA-PBE",
  "state": "optimized geometry",
  "lattice_angstrom": [[3.972, -3.890, 0.000], [3.972, 3.890, 0.000], [-3.704, 0.000, 4.979]],
  "species": ["K", "K", "Tl", "Bi", "O", "O", "O", "O"],
  "fractional_positions": [[0.000, 0.000, 0.000], [0.746, 0.254, 0.500], [0.215, 0.785, 0.500], [0.493, 0.507, 0.000], [0.149, 0.527, 0.080], [0.271, 0.200, 0.548], [0.473, 0.851, 0.920], [0.800, 0.729, 0.452]],
  "sg": "C2",
  "vol_a3_per_atom": 19.230,
  "raw_formation_energy_ev_per_atom": -1.166,
  "m_tot_mub_per_fu": 0.00,
  "crystal_system": "monoclinic"
}

{
  "formula": "Tb8Pr2Zr",
  "functional": "GGA-PBE",
  "state": "optimized geometry",
  "lattice_angstrom": [[9.050, -2.503, 0.000], [9.050, 2.503, 0.000], [-2.088, 0.000, 7.675]],
  "species": ["Tb", "Tb", "Tb", "Tb", "Tb", "Tb", "Tb", "Tb", "Pr", "Pr", "Zr"],
  "fractional_positions": [[0.043, 0.043, 0.236], [0.130, 0.130, 0.670], [0.322, 0.322, 0.591], [0.412, 0.412, 0.059], [0.588, 0.588, 0.941], [0.678, 0.678, 0.409], [0.870, 0.870, 0.330], [0.957, 0.957, 0.764], [0.226, 0.226, 0.136], [0.774, 0.774, 0.864], [0.500, 0.500, 0.500]],
  "sg": "C2/m",
  "vol_a3_per_atom": 31.614,
  "total_energy_ev_per_atom": -4.9681,
  "m_tot_mub_per_fu": 0.00,
  "crystal_system": "monoclinic"
}

{
  "formula": "LiVGa2",
  "functional": "GGA-PBE",
  "state": "optimized geometry",
  "lattice_angstrom": [[1.404, 0.811, 8.886], [-1.404, 0.811, 8.886], [0.000, -1.621, 8.886]],
  "species": ["Li", "V", "Ga", "Ga"],
  "fractional_positions": [[0.000, 0.000, 0.000], [0.500, 0.500, 0.500], [0.248, 0.248, 0.248], [0.752, 0.752, 0.752]],
  "sg": "R-3m",
  "vol_a3_per_atom": 15.167,
  "m_tot_mub_per_fu": 0.00,
  "relative_energy_mev_per_atom": 143.0,
  "crystal_system": "trigonal"
}

{
  "formula": "Zr3InBr",
  "functional": "GGA-PBE",
  "state": "optimized geometry",
  "lattice_angstrom": [[4.987, 0.000, 0.000], [0.000, 4.987, 0.000], [0.000, 0.000, 4.987]],
  "species": ["Zr", "Zr", "Zr", "In", "Br"],
  "fractional_positions": [[0.000, 0.000, 0.500], [0.000, 0.500, 0.000], [0.500, 0.000, 0.000], [0.500, 0.500, 0.500], [0.000, 0.000, 0.000]],
  "sg": "Pm-3m",
  "vol_a3_per_atom": 24.806,
  "raw_formation_energy_ev_per_atom": 0.283,
  "m_tot_mub_per_fu": 0.00,
  "relative_energy_mev_per_atom": 0.0,
  "crystal_system": "cubic"
}

{
  "formula": "La4SmN5",
  "functional": "GGA-PBE",
  "state": "optimized geometry",
  "lattice_angstrom": [[-1.855, 1.855, 13.239], [1.855, -1.855, 13.239], [1.855, 1.855, -13.239]],
  "species": ["La", "La", "La", "La", "Sm", "N", "N", "N", "N", "N"],
  "fractional_positions": [[0.097, 0.097, 0.000], [0.300, 0.300, 0.000], [0.700, 0.700, 0.000], [0.903, 0.903, 0.000], [0.500, 0.500, 0.000], [0.000, 0.000, 0.000], [0.203, 0.203, 0.000], [0.405, 0.405, 0.000], [0.595, 0.595, 0.000], [0.797, 0.797, 0.000]],
  "sg": "I4/mmm",
  "vol_a3_per_atom": 18.232,
  "raw_formation_energy_ev_per_atom": -1.341,
  "m_tot_mub_per_fu": 0.00,
  "relative_energy_mev_per_atom": 11.2,
  "crystal_system": "tetragonal"
}

{
  "formula": "KY2Ag",
  "functional": "GGA-PBE",
  "state": "optimized geometry",
  "lattice_angstrom": [[-3.270, 3.270, 9.430], [3.270, -3.270, 9.430], [3.270, 3.270, -9.430]],
  "species": ["K", "K", "Y", "Y", "Y", "Y", "Ag", "Ag"],
  "fractional_positions": [[0.375, 0.625, 0.750], [0.625, 0.375, 0.250], [0.000, 0.000, 0.000], [0.000, 0.000, 0.500], [0.000, 0.500, 0.000], [0.500, 0.000, 0.500], [0.125, 0.875, 0.250], [0.875, 0.125, 0.750]],
  "sg": "I4_1/amd",
  "vol_a3_per_atom": 50.414,
  "total_energy_ev_per_atom": -3.4649,
  "m_tot_mub_per_fu": 1.05,
  "crystal_system": "tetragonal"
}

{
  "formula": "Hg2PRh",
  "functional": "GGA-PBE",
  "state": "optimized geometry",
  "lattice_angstrom": [[5.355, 0.000, 0.000], [0.000, 3.264, 0.000], [-2.670, 0.000, 5.025]],
  "species": ["Hg", "Hg", "P", "Rh"],
  "fractional_positions": [[0.000, 0.000, 0.000], [0.300, 0.500, 0.601], [0.687, 0.500, 0.374], [0.538, 0.000, 0.076]],
  "sg": "Pm",
  "vol_a3_per_atom": 21.961,
  "total_energy_ev_per_atom": -3.3277,
  "m_tot_mub_per_fu": 0.00,
  "crystal_system": "monoclinic"
}